1.
# Mn2FeH3 | the Alexandria database | GGA-PBE | relaxed
# **Spin magnetization**: 0.80 μB/f.u.
# **DFT total energy**: -148.2 eV/cell
# **D(E_F)**: 0.60 states/eV/atom
data_Mn2FeH3
_cell_length_a 5.219
_cell_length_b 3.770
_cell_length_c 7.960
_cell_angle_alpha 90.00
_cell_angle_beta 90.00
_cell_angle_gamma 90.00
_symmetry_space_group_name_H-M 'P n m a'
_symmetry_Int_Tables_number 62
loop_
_symmetry_equiv_pos_as_xyz
'x,y,z'
'-x,-y,-z'
'-x+1/2,-y,z+1/2'
'x+1/2,y,-z+1/2'
'x+1/2,-y+1/2,-z+1/2'
'-x+1/2,y+1/2,z+1/2'
'-x,y+1/2,-z'
'x,-y+1/2,z'
loop_
_atom_site_label
_atom_site_fract_x
_atom_site_fract_y
_atom_site_fract_z
_atom_site_occupancy
Mn1 0.125 0.250 0.249 1
Mn2 0.130 0.250 0.915 1
Fe1 0.127 0.250 0.588 1
H1 0.115 0.750 0.576 1
H2 0.121 0.750 0.251 1
H3 0.133 0.750 0.929 1

---

2.
# PuZn2O6 | the Alexandria database | GGA-PBE | relaxed
# **Spin magnetization**: 1.46 μB/f.u.
# **DFT total energy**: -121.2 eV/cell
# **Formation energy from raw total energies**: -1.5545 eV/atom
# **D(E_F)**: 0.63 states/eV/atom
data_PuZn2O6
_cell_length_a 10.423
_cell_length_b 3.675
_cell_length_c 7.204
_cell_angle_alpha 90.00
_cell_angle_beta 96.12
_cell_angle_gamma 90.00
_symmetry_space_group_name_H-M 'C 1 2/m 1'
_symmetry_Int_Tables_number 12
loop_
_symmetry_equiv_pos_as_xyz
'x,y,z'
'-x,-y,-z'
'-x,y,-z'
'x,-y,z'
'x+1/2,y+1/2,z'
'-x+1/2,-y+1/2,-z'
'-x+1/2,y+1/2,-z'
'x+1/2,-y+1/2,z'
loop_
_atom_site_label
_atom_site_fract_x
_atom_site_fract_y
_atom_site_fract_z
_atom_site_occupancy
Pu1 0.000 0.000 0.000 1
Zn1 0.223 0.500 0.339 1
O1 0.101 0.000 0.810 1
O2 0.102 0.500 0.112 1
O3 0.205 0.000 0.393 1

---

3.
# FeTeRuW2 | the Alexandria database | GGA-PBE | relaxed
# **Spin magnetization**: 3.72 μB/f.u.
# **DFT total energy**: -34.6 eV/cell
# **Formation energy from raw total energies**: 2.4312 eV/atom
# **D(E_F)**: 1.64 states/eV/atom
data_FeTeRuW2
_cell_length_a 4.884
_cell_length_b 4.884
_cell_length_c 4.445
_cell_angle_alpha 90.00
_cell_angle_beta 90.00
_cell_angle_gamma 90.00
_symmetry_space_group_name_H-M 'P 4/m m m'
_symmetry_Int_Tables_number 123
_symmetry_space_group_name_Hall '-P 4 2'
loop_
_atom_site_label
_atom_site_fract_x
_atom_site_fract_y
_atom_site_fract_z
_atom_site_occupancy
Fe1 0.000 0.000 0.000 1
Te1 0.000 0.000 0.500 1
Ru1 0.500 0.500 0.000 1
W1 0.000 0.500 0.500 1

---

4.
# Ga2SnB | the Alexandria database | GGA-PBE | relaxed
# **Spin magnetization**: 0.00 μB/f.u.
# **DFT total energy**: -31.4 eV/cell
# **Polymorph energy (0 for the lowest one)**: 0 meV per atom
# **Formation energy**: 0.26 eV/atom
# **D(E_F)**: 0.26 states/eV/atom
data_Ga2SnB
_cell_length_a 5.380
_cell_length_b 5.396
_cell_length_c 5.837
_cell_angle_alpha 78.13
_cell_angle_beta 80.05
_cell_angle_gamma 62.75
_symmetry_space_group_name_H-M 'P 1'
_symmetry_Int_Tables_number 1
loop_
_symmetry_equiv_pos_as_xyz
'x,y,z'
loop_
_atom_site_label
_atom_site_fract_x
_atom_site_fract_y
_atom_site_fract_z
_atom_site_occupancy
Ga1 0.000 0.000 0.000 1
Ga2 0.035 0.764 0.479 1
Ga3 0.498 0.840 0.585 1
Ga4 0.600 0.313 0.576 1
Sn1 0.313 0.321 0.092 1
Sn2 0.658 0.663 0.069 1
B1 0.038 0.116 0.616 1
B2 0.217 0.309 0.510 1

---

5.
# Y2WSe | the Alexandria database | GGA-PBE | relaxed
# **Spin magnetization**: 1.62 μB/f.u.
# **DFT total energy**: -110.8 eV/cell
# **Formation energy from raw total energies**: 0.4158 eV/atom
# **D(E_F)**: 1.52 states/eV/atom
data_Y2WSe
_cell_length_a 7.056
_cell_length_b 7.056
_cell_length_c 7.056
_cell_angle_alpha 90.00
_cell_angle_beta 90.00
_cell_angle_gamma 90.00
_symmetry_space_group_name_H-M 'F -4 3 m'
_symmetry_Int_Tables_number 216
_symmetry_space_group_name_Hall 'F -4 2 3'
loop_
_atom_site_label
_atom_site_fract_x
_atom_site_fract_y
_atom_site_fract_z
_atom_site_occupancy
Y1 0.000 0.000 0.000 1
Y2 0.250 0.250 0.250 1
W1 0.250 0.250 0.750 1
Se1 0.000 0.000 0.500 1

---

6.
# Ba3LaBi2O9 | the Alexandria database | GGA-PBE | relaxed
# **Spin magnetization**: 0.00 μB/f.u.
# **DFT total energy**: -95.2 eV/cell
# **Formation energy from raw total energies**: -2.1441 eV/atom
# **D(E_F)**: 0.17 states/eV/atom
data_Ba3LaBi2O9
_cell_length_a 6.3013
_cell_length_b 6.3013
_cell_length_c 7.7402
_cell_angle_alpha 90.00
_cell_angle_beta 90.00
_cell_angle_gamma 120.00
_symmetry_space_group_name_H-M 'P -3 m 1'
_symmetry_Int_Tables_number 164
_symmetry_space_group_name_Hall '-P 3 2"'
loop_
_atom_site_label
_atom_site_fract_x
_atom_site_fract_y
_atom_site_fract_z
_atom_site_occupancy
Ba1 0.0000 0.0000 0.0000 1
Ba2 0.3333 0.6667 0.6793 1
La1 0.0000 0.0000 0.5000 1
Bi1 0.3333 0.6667 0.1664 1
O1 0.0000 0.5000 0.0000 1
O2 0.1723 0.3447 0.3225 1

---

7.
# ZnCd2Si | the Alexandria database | GGA-PBE | relaxed
# **Spin magnetization**: 0.00 μB/f.u.
# **DFT total energy**: -28.6 eV/cell
# **Formation energy from raw total energies**: 0.3471 eV/atom
# **Polymorph energy (0 for the lowest one)**: 125 meV per atom
# **D(E_F)**: 0.44 states/eV/atom
data_ZnCd2Si
_cell_length_a 6.824
_cell_length_b 6.824
_cell_length_c 6.824
_cell_angle_alpha 90.00
_cell_angle_beta 90.00
_cell_angle_gamma 90.00
_symmetry_space_group_name_H-M 'F -4 3 m'
_symmetry_Int_Tables_number 216
_symmetry_space_group_name_Hall 'F -4 2 3'
loop_
_atom_site_label
_atom_site_fract_x
_atom_site_fract_y
_atom_site_fract_z
_atom_site_occupancy
Zn1 0.000 0.000 0.000 1
Cd1 0.000 0.000 0.500 1
Cd2 0.250 0.250 0.750 1
Si1 0.250 0.250 0.250 1

---

8.
# Rb3PmO3 | the Alexandria database | GGA-PBE | relaxed
# **Spin magnetization**: 0.00 μB/f.u.
# **DFT total energy**: -141.9 eV/cell
# **Formation energy from raw total energies**: -1.8512 eV/atom
# **Polymorph energy (0 for the lowest one)**: 0 meV per atom
data_Rb3PmO3
_cell_length_a 7.143
_cell_length_b 7.912
_cell_length_c 11.830
_cell_angle_alpha 90.00
_cell_angle_beta 90.00
_cell_angle_gamma 90.00
_symmetry_space_group_name_H-M 'I m m a'
_symmetry_Int_Tables_number 74
_symmetry_space_group_name_Hall '-I 2b 2'
loop_
_atom_site_label
_atom_site_fract_x
_atom_site_fract_y
_atom_site_fract_z
_atom_site_occupancy
Rb1 0.000 0.250 0.221 1
Rb2 0.242 0.000 0.500 1
Pm1 0.000 0.250 0.787 1
O1 0.000 0.250 0.975 1
O2 0.250 0.055 0.750 1